Below is a relaxed NiSe7 crystal, with properties calculated at the GGA-PBE level.

Summary:
* electronic total energy: -3.59 eV per atom

Cell: 6.478 6.478 17.307 Å, 90.05 90.05 146.32°
Positions (direct):
1 Ni 0.203 0.797 0.750
2 Ni 0.797 0.203 0.250
3 Se 0.082 0.914 0.857
4 Se 0.086 0.918 0.643
5 Se 0.187 0.813 0.250
6 Se 0.287 0.712 0.413
7 Se 0.288 0.713 0.087
8 Se 0.363 0.635 0.956
9 Se 0.365 0.637 0.544
10 Se 0.635 0.363 0.456
11 Se 0.637 0.365 0.044
12 Se 0.712 0.287 0.913
13 Se 0.713 0.288 0.587
14 Se 0.813 0.187 0.750
15 Se 0.914 0.082 0.357
16 Se 0.918 0.086 0.143



Below is a relaxed Ni3Se crystal, with properties calculated at the GGA-PBE level.

Summary:
* ΔE to the lowest computed polymorph: 4 meV/atom

Cell: 5.181 5.181 4.173 Å, 90.00 90.00 120.00°
Positions (direct):
1 Ni 0.163 0.327 0.250
2 Ni 0.163 0.837 0.250
3 Ni 0.327 0.163 0.750
4 Ni 0.673 0.837 0.250
5 Ni 0.837 0.163 0.750
6 Ni 0.837 0.673 0.750
7 Se 0.333 0.667 0.750
8 Se 0.667 0.333 0.250



Below is a relaxed Si2NiSe5 crystal, with properties calculated at the GGA-PBE level.

Summary:
* electronic total energy: -4.40 eV per atom

Cell: 6.799 6.799 16.296 Å, 90.16 90.16 150.69°
Positions (direct):
1 Si 0.211 0.782 0.915
2 Si 0.218 0.789 0.585
3 Si 0.782 0.211 0.415
4 Si 0.789 0.218 0.085
5 Ni 0.290 0.710 0.250
6 Ni 0.710 0.290 0.750
7 Se 0.153 0.844 0.444
8 Se 0.156 0.847 0.056
9 Se 0.324 0.676 0.750
10 Se 0.394 0.594 0.366
11 Se 0.406 0.606 0.134
12 Se 0.594 0.394 0.866
13 Se 0.606 0.406 0.634
14 Se 0.676 0.324 0.250
15 Se 0.844 0.153 0.944
16 Se 0.847 0.156 0.556



Below is a relaxed Si2NiSe4 crystal, with properties calculated at the GGA-PBE level.

Summary:
* electronic total energy: -4.48 eV per atom

Cell: 6.952 6.952 6.271 Å, 114.46 114.46 29.54°
Positions (direct):
1 Si 0.241 0.241 0.225
2 Si 0.759 0.759 0.775
3 Ni 0.500 0.500 0.500
4 Se 0.125 0.125 0.477
5 Se 0.377 0.377 0.048
6 Se 0.623 0.623 0.952
7 Se 0.875 0.875 0.523



Below is a relaxed SmTlNiSe3 crystal, with properties calculated at the GGA-PBE level.

Summary:
* electronic total energy: -4.75 eV per atom

Cell: 11.632 4.212 12.281 Å, 90.00 90.00 90.00°
Positions (direct):
1 Sm 0.015 0.250 0.177
2 Sm 0.485 0.750 0.677
3 Sm 0.515 0.250 0.323
4 Sm 0.985 0.750 0.823
5 Tl 0.177 0.250 0.505
6 Tl 0.323 0.750 0.005
7 Tl 0.677 0.250 0.995
8 Tl 0.823 0.750 0.495
9 Ni 0.244 0.750 0.304
10 Ni 0.256 0.250 0.804
11 Ni 0.744 0.750 0.196
12 Ni 0.756 0.250 0.696
13 Se 0.043 0.750 0.340
14 Se 0.109 0.250 0.944
15 Se 0.228 0.750 0.720
16 Se 0.272 0.250 0.220
17 Se 0.391 0.750 0.444
18 Se 0.457 0.250 0.840
19 Se 0.543 0.750 0.160
20 Se 0.609 0.250 0.556
21 Se 0.728 0.750 0.780
22 Se 0.772 0.250 0.280
23 Se 0.891 0.750 0.056
24 Se 0.957 0.250 0.660



Below is a relaxed NiSn10Se10 crystal, with properties calculated at the GGA-PBE level.

Summary:
* electronic total energy: -4.12 eV per atom

Cell: 11.355 11.787 8.814 Å, 90.00 90.00 90.00°
Positions (direct):
1 Ni 0.000 0.000 0.000
2 Ni 0.500 0.500 0.000
3 Sn 0.000 0.500 0.238
4 Sn 0.000 0.500 0.762
5 Sn 0.129 0.084 0.247
6 Sn 0.129 0.084 0.753
7 Sn 0.138 0.824 0.000
8 Sn 0.243 0.813 0.500
9 Sn 0.257 0.313 0.500
10 Sn 0.362 0.324 0.000
11 Sn 0.371 0.584 0.247
12 Sn 0.371 0.584 0.753
13 Sn 0.500 0.000 0.238
14 Sn 0.500 0.000 0.762
15 Sn 0.629 0.416 0.247
16 Sn 0.629 0.416 0.753
17 Sn 0.638 0.676 0.000
18 Sn 0.743 0.687 0.500
19 Sn 0.757 0.187 0.500
20 Sn 0.862 0.176 0.000
21 Sn 0.871 0.916 0.247
22 Sn 0.871 0.916 0.753
23 Se 0.007 0.175 0.500
24 Se 0.141 0.595 0.000
25 Se 0.178 0.313 0.195
26 Se 0.178 0.313 0.805
27 Se 0.202 0.552 0.500
28 Se 0.298 0.052 0.500
29 Se 0.322 0.813 0.195
30 Se 0.322 0.813 0.805
31 Se 0.359 0.095 0.000
32 Se 0.493 0.675 0.500
33 Se 0.507 0.325 0.500
34 Se 0.641 0.905 0.000
35 Se 0.678 0.187 0.195
36 Se 0.678 0.187 0.805
37 Se 0.702 0.948 0.500
38 Se 0.798 0.448 0.500
39 Se 0.822 0.687 0.195
40 Se 0.822 0.687 0.805
41 Se 0.859 0.405 0.000
42 Se 0.993 0.825 0.500



Below is a relaxed Ni2Sn8Se crystal, with properties calculated at the GGA-PBE level.

Summary:
* electronic total energy: -4.26 eV per atom

Cell: 10.448 10.448 9.657 Å, 90.00 90.00 90.00°
Positions (direct):
1 Ni 0.215 0.215 0.237
2 Ni 0.215 0.215 0.763
3 Ni 0.285 0.715 0.263
4 Ni 0.285 0.715 0.737
5 Ni 0.715 0.285 0.263
6 Ni 0.715 0.285 0.737
7 Ni 0.785 0.785 0.237
8 Ni 0.785 0.785 0.763
9 Sn 0.000 0.000 0.327
10 Sn 0.000 0.000 0.673
11 Sn 0.037 0.710 0.199
12 Sn 0.037 0.710 0.801
13 Sn 0.103 0.103 0.000
14 Sn 0.182 0.182 0.500
15 Sn 0.184 0.816 0.500
16 Sn 0.210 0.463 0.301
17 Sn 0.210 0.463 0.699
18 Sn 0.290 0.963 0.199
19 Sn 0.290 0.963 0.801
20 Sn 0.316 0.316 0.000
21 Sn 0.318 0.682 0.000
22 Sn 0.397 0.603 0.500
23 Sn 0.463 0.210 0.301
24 Sn 0.463 0.210 0.699
25 Sn 0.500 0.500 0.173
26 Sn 0.500 0.500 0.827
27 Sn 0.537 0.790 0.301
28 Sn 0.537 0.790 0.699
29 Sn 0.603 0.397 0.500
30 Sn 0.682 0.318 0.000
31 Sn 0.684 0.684 0.000
32 Sn 0.710 0.037 0.199
33 Sn 0.710 0.037 0.801
34 Sn 0.790 0.537 0.301
35 Sn 0.790 0.537 0.699
36 Sn 0.816 0.184 0.500
37 Sn 0.818 0.818 0.500
38 Sn 0.897 0.897 0.000
39 Sn 0.963 0.290 0.199
40 Sn 0.963 0.290 0.801
41 Se 0.000 0.500 0.000
42 Se 0.000 0.500 0.500
43 Se 0.500 0.000 0.000
44 Se 0.500 0.000 0.500



Below is a relaxed ZnNiSnSe3 crystal, with properties calculated at the GGA-PBE level.

Summary:
* ΔE to the lowest computed polymorph: 0 meV/atom

Cell: 7.002 7.002 9.603 Å, 90.00 90.00 147.82°
Positions (direct):
1 Zn 0.025 0.975 0.750
2 Zn 0.975 0.025 0.250
3 Ni 0.500 0.500 0.000
4 Ni 0.500 0.500 0.500
5 Sn 0.266 0.734 0.250
6 Sn 0.734 0.266 0.750
7 Se 0.131 0.869 0.545
8 Se 0.131 0.869 0.955
9 Se 0.416 0.584 0.750
10 Se 0.584 0.416 0.250
11 Se 0.869 0.131 0.045
12 Se 0.869 0.131 0.455